No. 1
Compound: Cu2Pt
Source: Alexandria via LeMat-Bulk
Functional: PBE-GGA
Structure: relaxed

Output
- energy above the lowest structure with this stoichiometry (eV/atom) = 0.211
- energy of formation (eV/atom) = 0.07

abc: 2.640 3.996 16.466
angles: 90.00 90.00 90.00
Fractional positions:
Cu 0.000 0.250 0.039
Cu 0.000 0.250 0.187
Cu 0.000 0.750 0.813
Cu 0.000 0.750 0.961
Cu 0.500 0.250 0.313
Cu 0.500 0.250 0.461
Cu 0.500 0.750 0.539
Cu 0.500 0.750 0.687
Pt 0.000 0.250 0.614
Pt 0.000 0.750 0.386
Pt 0.500 0.250 0.886
Pt 0.500 0.750 0.114


No. 2
Compound: TlCd2As
Source: Alexandria via LeMat-Bulk
Functional: PBE-GGA
Structure: relaxed

Output
- energy above the lowest structure with this stoichiometry (eV/atom) = 0.086
- energy of formation (eV/atom) = 0.10

abc: 8.000 8.000 6.655
angles: 90.00 90.00 90.00
Fractional positions:
Tl 0.000 0.000 0.000
Tl 0.000 0.500 0.250
Tl 0.500 0.000 0.750
Tl 0.500 0.500 0.500
Cd 0.204 0.750 0.625
Cd 0.250 0.204 0.375
Cd 0.250 0.296 0.875
Cd 0.296 0.750 0.125
Cd 0.704 0.250 0.125
Cd 0.750 0.704 0.875
Cd 0.750 0.796 0.375
Cd 0.796 0.250 0.625
As 0.000 0.000 0.500
As 0.000 0.500 0.750
As 0.500 0.000 0.250
As 0.500 0.500 0.000


No. 3
Compound: AcCeCoI
Source: Alexandria via LeMat-Bulk
Functional: PBE-GGA
Structure: relaxed

Output
- raw formation energy (kJ/mol of formula units) = -230

abc: 6.954 4.342 8.676
angles: 90.00 108.37 90.00
Fractional positions:
Ac 0.000 0.000 0.000
Ac 0.500 0.500 0.000
Ce 0.248 0.000 0.640
Ce 0.748 0.500 0.640
Co 0.077 0.500 0.781
Co 0.577 0.000 0.781
I 0.287 0.500 0.336
I 0.787 0.000 0.336


No. 4
Compound: SrSnGe2Os
Source: Alexandria via LeMat-Bulk
Functional: PBE-GGA
Structure: relaxed

Output
- energy of formation (eV/atom) = 1.88

abc: 5.508 5.508 5.171
angles: 90.00 90.00 90.00
Fractional positions:
Sr 0.000 0.000 0.000
Sn 0.500 0.500 0.500
Ge 0.000 0.500 0.000
Ge 0.500 0.000 0.000
Os 0.000 0.000 0.500


No. 5
Compound: LiGdTmTl
Source: Alexandria via LeMat-Bulk
Functional: PBE-GGA
Structure: relaxed

Output
- energy of formation (eV/atom) = -0.19

abc: 7.453 7.453 7.453
angles: 90.00 90.00 90.00
Fractional positions:
Li 0.000 0.000 0.000
Li 0.000 0.500 0.500
Li 0.500 0.000 0.500
Li 0.500 0.500 0.000
Gd 0.250 0.250 0.250
Gd 0.250 0.750 0.750
Gd 0.750 0.250 0.750
Gd 0.750 0.750 0.250
Tm 0.250 0.250 0.750
Tm 0.250 0.750 0.250
Tm 0.750 0.250 0.250
Tm 0.750 0.750 0.750
Tl 0.000 0.000 0.500
Tl 0.000 0.500 0.000
Tl 0.500 0.000 0.000
Tl 0.500 0.500 0.500


No. 6
Compound: Pm6Sb2Te3Se
Source: Alexandria via LeMat-Bulk
Functional: PBE-GGA
Structure: relaxed

Output
- raw formation energy (kJ/mol of formula units) = -1660

abc: 9.967 9.967 8.901
angles: 103.66 103.66 25.63
Fractional positions:
Pm 0.000 0.000 0.227
Pm 0.000 0.000 0.773
Pm 0.332 0.332 0.423
Pm 0.344 0.344 0.917
Pm 0.656 0.656 0.083
Pm 0.668 0.668 0.577
Sb 0.166 0.166 0.332
Sb 0.834 0.834 0.668
Te 0.170 0.170 0.835
Te 0.500 0.500 0.500
Te 0.830 0.830 0.165
Se 0.500 0.500 0.000


No. 7
Compound: Sr2Pd2Cl
Source: Alexandria via LeMat-Bulk
Functional: PBE-GGA
Structure: relaxed

Output
- raw formation energy (kJ/mol of formula units) = -378

abc: 8.292 8.292 3.848
angles: 90.00 90.00 90.00
Fractional positions:
Sr 0.183 0.317 0.000
Sr 0.317 0.817 0.000
Sr 0.683 0.183 0.000
Sr 0.817 0.683 0.000
Pd 0.113 0.613 0.500
Pd 0.387 0.113 0.500
Pd 0.613 0.887 0.500
Pd 0.887 0.387 0.500
Cl 0.000 0.000 0.500
Cl 0.500 0.500 0.500


No. 8
Compound: RbBaSr2
Source: Alexandria via LeMat-Bulk
Functional: PBE-GGA
Structure: relaxed

Output
- energy above the lowest structure with this stoichiometry (eV/atom) = 0.041
- energy of formation (eV/atom) = 0.11

abc: 4.357 4.357 47.206
angles: 90.00 90.00 120.00
Fractional positions:
Rb 0.000 0.000 0.000
Rb 0.333 0.667 0.667
Rb 0.667 0.333 0.333
Ba 0.000 0.000 0.500
Ba 0.333 0.667 0.167
Ba 0.667 0.333 0.833
Sr 0.000 0.000 0.091
Sr 0.000 0.000 0.909
Sr 0.333 0.667 0.576
Sr 0.333 0.667 0.758
Sr 0.667 0.333 0.242
Sr 0.667 0.333 0.424